(1)
Here is a geometry-optimized Tl2Pd4Pt structure from the Alexandria database. Energies are from PBE.

a = 6.979 Å, b = 6.979 Å, c = 6.979 Å
α = 108.95°, β = 108.95°, γ = 110.52°
Fractional coordinates of all 14 atoms:
Tl (0.375, 0.245, 0.370)
Tl (0.755, 0.125, 0.130)
Tl (0.875, 0.005, 0.630)
Tl (0.995, 0.625, 0.870)
Pd (0.135, 0.386, 0.592)
Pd (0.136, 0.385, 0.092)
Pd (0.293, 0.044, 0.908)
Pd (0.457, 0.865, 0.251)
Pd (0.614, 0.206, 0.749)
Pd (0.615, 0.707, 0.751)
Pd (0.794, 0.543, 0.408)
Pd (0.956, 0.864, 0.249)
Pt (0.250, 0.750, 0.500)
Pt (0.500, 0.500, 0.000)

Output
offset from the most stable computed form	104	meV/atom
crystal system	tetragonal

(2)
Here is a geometry-optimized Tl4Pd5Pt2 structure from the Alexandria database. Energies are from PBE.

a = 11.653 Å, b = 11.653 Å, c = 11.653 Å
α = 165.37°, β = 141.27°, γ = 41.61°
Fractional coordinates of all 11 atoms:
Tl (0.179, 0.179, 0.000)
Tl (0.195, 0.500, 0.695)
Tl (0.805, 0.500, 0.305)
Tl (0.821, 0.821, 0.000)
Pd (0.115, 0.298, 0.817)
Pd (0.481, 0.298, 0.183)
Pd (0.500, 0.000, 0.500)
Pd (0.519, 0.702, 0.817)
Pd (0.885, 0.702, 0.183)
Pt (0.399, 0.399, 0.000)
Pt (0.601, 0.601, 0.000)

Output
crystal system	orthorhombic

(3)
Here is a geometry-optimized Tl6Pd8Pt structure from the Alexandria database. Energies are from PBE.

a = 11.129 Å, b = 11.129 Å, c = 3.015 Å
α = 90.00°, β = 90.00°, γ = 120.00°
Fractional coordinates of all 15 atoms:
Tl (0.123, 0.447, 0.312)
Tl (0.324, 0.877, 0.312)
Tl (0.447, 0.324, 0.688)
Tl (0.553, 0.676, 0.312)
Tl (0.676, 0.123, 0.688)
Tl (0.877, 0.553, 0.688)
Pd (0.034, 0.792, 0.197)
Pd (0.208, 0.243, 0.197)
Pd (0.243, 0.034, 0.803)
Pd (0.333, 0.667, 0.814)
Pd (0.667, 0.333, 0.186)
Pd (0.757, 0.966, 0.197)
Pd (0.792, 0.757, 0.803)
Pd (0.966, 0.208, 0.803)
Pt (0.000, 0.000, 0.500)

Output
crystal system	trigonal

| no. | calculated formation energy (eV/atom) |
| --- | --- |
| 1 | 0.008 |
| 2 | 0.174 |
| 3 | 0.023 |